First-principles (PBE-GGA) data for an optimized crystal structure of Ga2Ag2Ir, as listed in the Alexandria database.

The space group is P4/mbm (No. 127) and the conventional cell measures 6.520, 6.520 and 4.060 Å, with angles of 90.00, 90.00 and 90.00 degrees. Symmetry generates all atoms from Ga at (0.147, 0.353, 0.000), Ag at (0.161, 0.661, 0.500) and Ir at (0.000, 0.000, 0.000).


First-principles (PBE-GGA) data for an optimized crystal structure of K2GaAgIr, as listed in the Alexandria database.

The space group is P4/mmm (No. 123) and the conventional cell measures 5.988, 5.988 and 4.938 Å, with angles of 90.00, 90.00 and 90.00 degrees. Symmetry generates all atoms from K at (0.000, 0.500, 0.000), Ga at (0.000, 0.000, 0.500), Ag at (0.000, 0.000, 0.000) and Ir at (0.500, 0.500, 0.500).


First-principles (PBE-GGA) data for an optimized crystal structure of KGa2AgIr, as listed in the Alexandria database.

The space group is P4/mmm (No. 123) and the conventional cell measures 4.797, 4.797 and 5.450 Å, with angles of 90.00, 90.00 and 90.00 degrees. Symmetry generates all atoms from K at (0.000, 0.000, 0.000), Ga at (0.000, 0.500, 0.500), Ag at (0.500, 0.500, 0.000) and Ir at (0.500, 0.500, 0.500).


Theoretical density values, unit g cm⁻³, following the record order: 10.5; 4.2; 6.3.
Calculated formation energy values, unit kJ per mole of atoms, following the record order: 8.65; 93.96; -18.16.
Calculated total energy values, unit eV per cell, following the record order: -40.34; -12.06; -19.80.